<A>
# PuThPd

Crystalline PuThPd at its relaxed geometry (PBE-GGA, Alexandria).

abc: 3.499 4.890 4.890
angles: 120.00 90.00 90.00
Site moments in Bohr magnetons follow the coordinates.
Sites, in units of the cell vectors:
Th  0.660  0.333  0.667  0.27
Pd  0.315  0.667  0.333  0.02
Pu  0.025  0.000  0.000  5.37

<B>
# PuThPd

Crystalline PuThPd at its relaxed geometry (PBE-GGA, Alexandria).

abc: 3.500 5.017 15.233
angles: 90.00 90.00 90.00
Sites, in units of the cell vectors:
Pd  0.750  0.500  0.225
Pd  0.250  0.500  0.775
Pd  0.250  0.000  0.275
Pd  0.750  0.000  0.725
Th  0.750  0.500  0.615
Th  0.750  0.000  0.115
Th  0.250  0.000  0.885
Th  0.250  0.500  0.385
Pu  0.250  0.500  0.049
Pu  0.250  0.000  0.549
Pu  0.750  0.500  0.951
Pu  0.750  0.000  0.451

Which one sits at the bottom of the stability order? <B> does.

<A>
# PuThPd4

Crystalline PuThPd4 at its relaxed geometry (PBE-GGA, Alexandria).

abc: 5.493 5.493 5.493
angles: 60.00 60.00 60.00
Site moments in Bohr magnetons follow the coordinates.
Sites, in units of the cell vectors:
Pu  0.250  0.250  0.250  5.41
Th  0.000  0.000  0.000  0.28
Pd  0.625  0.126  0.625  -0.01
Pd  0.126  0.625  0.625  -0.01
Pd  0.625  0.625  0.625  -0.01
Pd  0.625  0.625  0.126  -0.01

<B>
# PuThPd4

Crystalline PuThPd4 at its relaxed geometry (PBE-GGA, Alexandria).

abc: 5.319 5.820 15.597
angles: 90.00 84.11 90.00
Site moments in Bohr magnetons follow the coordinates.
Sites, in units of the cell vectors:
Pu  0.751  0.750  0.771  5.42
Pu  0.251  0.750  0.271  5.42
Pu  0.249  0.250  0.229  5.42
Pu  0.749  0.250  0.729  5.42
Pd  0.250  0.000  0.750  0.01
Pd  0.682  0.005  0.928  0.01
Pd  0.701  0.750  0.410  0.01
Pd  0.750  0.000  0.250  0.01
Pd  0.250  0.500  0.750  0.01
Pd  0.750  0.500  0.250  0.01
Pd  0.818  0.505  0.572  0.01
Pd  0.318  0.995  0.072  0.01
Pd  0.182  0.006  0.428  0.01
Pd  0.299  0.250  0.590  0.01
Pd  0.201  0.750  0.910  0.01
Pd  0.182  0.495  0.428  0.01
Pd  0.799  0.250  0.090  0.01
Pd  0.818  0.994  0.572  0.01
Pd  0.682  0.494  0.928  0.01
Pd  0.318  0.506  0.072  0.01
Th  0.175  0.250  0.918  0.01
Th  0.675  0.250  0.418  0.01
Th  0.325  0.750  0.582  0.01
Th  0.825  0.750  0.082  0.01

Which one sits at the bottom of the stability order? <A> does.